(1)
DFT (PBE) results for a relaxed structure of TlSb2O.

The space group is I-42d (No. 122) and the conventional cell measures 5.707, 5.707 and 13.988 Å, with angles of 90.00, 90.00 and 90.00 degrees. The inequivalent atoms are Tl at (0.000, 0.000, 0.000), Sb at (0.084, 0.250, 0.625) and O at (0.000, 0.000, 0.500).

Its formation energy without anion corrections is -0.186 eV per atom. For the calculated volume, the calculation gives 455.52 Å³/cell. As for the density of states at the Fermi level: 5.49 states/eV per cell. As for the crystal system: tetragonal. The value obtained for the offset from the most stable computed form is 0.000 eV per atom.

(2)
DFT (PBE) results for a relaxed structure of Mg2ZrCd.

The space group is F-43m (No. 216) and the conventional cell measures 7.005, 7.005 and 7.005 Å, with angles of 90.00, 90.00 and 90.00 degrees. The inequivalent atoms are Mg at (0.000, 0.000, 0.000), Mg at (0.250, 0.250, 0.250), Zr at (0.000, 0.000, 0.500) and Cd at (0.250, 0.250, 0.750).

For the formation energy, the calculation gives 18 meV per atom. For the calculated volume, the calculation gives 343.73 Å³/cell. As for the density of states at the Fermi level: 9.57 states/eV per cell. As for the crystal system: cubic.

(3)
DFT (PBE) results for a relaxed structure of K3OsN.

The space group is Pm-3m (No. 221) and the conventional cell measures 5.450, 5.450 and 5.450 Å, with angles of 90.00, 90.00 and 90.00 degrees. The inequivalent atoms are K at (0.000, 0.000, 0.500), Os at (0.500, 0.500, 0.500) and N at (0.000, 0.000, 0.000).

Its formation energy without anion corrections is 1.598 eV per atom. For the calculated volume, the calculation gives 161.92 Å³/cell. As for the density of states at the Fermi level: 30.47 states/eV per cell. As for the crystal system: cubic. The value obtained for the offset from the most stable computed form is 0.000 eV per atom.

(4)
DFT (PBE) results for a relaxed structure of Tb2YHo3Bi6.

The space group is C2/m (No. 12) and the conventional cell measures 19.506, 4.476 and 8.953 Å, with angles of 90.00, 103.20 and 90.00 degrees. The inequivalent atoms are Tb at (0.167, 0.000, 0.333), Y at (0.000, 0.500, 0.000), Ho at (0.000, 0.500, 0.500), Ho at (0.167, 0.000, 0.833), Bi at (0.001, 0.000, 0.749), Bi at (0.166, 0.500, 0.584) and Bi at (0.167, 0.500, 0.082).

For the formation energy, the calculation gives -861 meV per atom. For the calculated volume, the calculation gives 760.94 Å³/cell. As for the density of states at the Fermi level: 4.00 states/eV per cell. As for the crystal system: monoclinic.

(5)
DFT (PBE) results for a relaxed structure of NbSb2RhI.

The space group is P4/mmm (No. 123) and the conventional cell measures 5.454, 5.454 and 4.822 Å, with angles of 90.00, 90.00 and 90.00 degrees. The inequivalent atoms are Nb at (0.000, 0.000, 0.000), Sb at (0.000, 0.500, 0.000), Rh at (0.000, 0.000, 0.500) and I at (0.500, 0.500, 0.500).

Its formation energy without anion corrections is 0.663 eV per atom. For the calculated volume, the calculation gives 143.46 Å³/cell. As for the density of states at the Fermi level: 6.45 states/eV per cell. As for the crystal system: tetragonal. The value obtained for the offset from the most stable computed form is 0.000 eV per atom.

(6)
DFT (PBE) results for a relaxed structure of Ba2ZnGeAu6.

The space group is C2/m (No. 12) and the conventional cell measures 10.144, 10.137 and 7.113 Å, with angles of 90.00, 134.41 and 90.00 degrees. The inequivalent atoms are Ba at (0.000, 0.250, 0.000), Zn at (0.000, 0.000, 0.500), Ge at (0.000, 0.500, 0.500), Au at (0.000, 0.249, 0.500), Au at (0.249, 0.000, 0.500) and Au at (0.249, 0.000, 0.998).

For the formation energy, the calculation gives -425 meV per atom. For the calculated volume, the calculation gives 522.52 Å³/cell. As for the density of states at the Fermi level: 6.04 states/eV per cell. As for the crystal system: monoclinic.

(7)
DFT (PBE) results for a relaxed structure of CaAsSe.

The space group is F-43m (No. 216) and the conventional cell measures 6.871, 6.871 and 6.871 Å, with angles of 90.00, 90.00 and 90.00 degrees. The inequivalent atoms are Ca at (0.000, 0.000, 0.000), As at (0.250, 0.250, 0.750) and Se at (0.250, 0.250, 0.250).

Its formation energy without anion corrections is -0.486 eV per atom. For the calculated volume, the calculation gives 324.42 Å³/cell. As for the density of states at the Fermi level: 6.59 states/eV per cell. As for the crystal system: cubic.

(8)
DFT (PBE) results for a relaxed structure of Ca2TcOs.

The space group is P4mm (No. 99) and the conventional cell measures 3.196, 3.196 and 9.127 Å, with angles of 90.00, 90.00 and 90.00 degrees. The inequivalent atoms are Ca at (0.000, 0.000, 0.000), Ca at (0.500, 0.500, 0.387), Tc at (0.500, 0.500, 0.757) and Os at (0.000, 0.000, 0.624).

For the formation energy, the calculation gives 259 meV per atom. For the calculated volume, the calculation gives 93.23 Å³/cell. As for the density of states at the Fermi level: 4.44 states/eV per cell. As for the crystal system: tetragonal. The value obtained for the offset from the most stable computed form is 0.000 eV per atom.

(9)
DFT (PBE) results for a relaxed structure of MnCr2WN.

The space group is P4/mmm (No. 123) and the conventional cell measures 3.846, 3.846 and 3.783 Å, with angles of 90.00, 90.00 and 90.00 degrees. The inequivalent atoms are Mn at (0.000, 0.000, 0.000), Cr at (0.000, 0.500, 0.500), W at (0.500, 0.500, 0.000) and N at (0.000, 0.000, 0.500).

Its formation energy without anion corrections is -0.132 eV per atom. For the calculated volume, the calculation gives 55.94 Å³/cell. As for the density of states at the Fermi level: 6.10 states/eV per cell. As for the crystal system: tetragonal.

(10)
DFT (PBE) results for a relaxed structure of AcPr2Y4.

The space group is I4/mmm (No. 139) and the conventional cell measures 8.733, 8.733 and 6.684 Å, with angles of 90.00, 90.00 and 90.00 degrees. The inequivalent atoms are Ac at (0.000, 0.000, 0.000), Pr at (0.000, 0.500, 0.250) and Y at (0.196, 0.196, 0.500).

For the formation energy, the calculation gives 208 meV per atom. For the calculated volume, the calculation gives 509.70 Å³/cell. As for the density of states at the Fermi level: 27.31 states/eV per cell. As for the crystal system: tetragonal.

(11)
DFT (PBE) results for a relaxed structure of K2Hf2CrTe6.

The space group is C2/m (No. 12) and the conventional cell measures 7.107, 12.329 and 8.829 Å, with angles of 90.00, 106.16 and 90.00 degrees. The inequivalent atoms are K at (0.000, 0.168, 0.000), Hf at (0.000, 0.329, 0.500), Cr at (0.000, 0.000, 0.500), Te at (0.234, 0.161, 0.696) and Te at (0.240, 0.500, 0.690).

Its formation energy without anion corrections is -0.767 eV per atom. For the calculated volume, the calculation gives 743.09 Å³/cell. As for the density of states at the Fermi level: 11.65 states/eV per cell. As for the crystal system: monoclinic.

(12)
DFT (PBE) results for a relaxed structure of Ta2NbZn.

The space group is I-42d (No. 122) and the conventional cell measures 7.402, 7.402 and 5.425 Å, with angles of 90.00, 90.00 and 90.00 degrees. The inequivalent atoms are Ta at (0.235, 0.250, 0.125), Nb at (0.000, 0.000, 0.500) and Zn at (0.000, 0.000, 0.000).

For the formation energy, the calculation gives 622 meV per atom. For the calculated volume, the calculation gives 297.20 Å³/cell. As for the density of states at the Fermi level: 8.10 states/eV per cell. As for the crystal system: tetragonal.